# ScH11I2O6

A relaxed structure of ScH11I2O6 (PBE, the Alexandria database).

Unit cell a=8.1913 b=8.5425 c=9.1031 alpha=75.31 beta=64.44 gamma=76.51
Space group P-1 (No. 2)
Asymmetric unit:
Sc  0.0444  0.1495  0.3285 x2
H  0.0676  0.8186  0.3479 x2
H  0.1350  0.8309  0.8922 x2
H  0.1372  0.4494  0.0877 x2
H  0.1486  0.0063  0.7774 x2
H  0.1740  0.3074  0.9908 x2
H  0.2289  0.5533  0.6444 x2
H  0.2529  0.2774  0.4477 x2
H  0.2750  0.3903  0.2724 x2
H  0.3193  0.9320  0.1360 x2
H  0.3215  0.6941  0.5014 x2
H  0.4217  0.0230  0.1928 x2
I  0.2741  0.6765  0.0912 x2
I  0.3502  0.2407  0.6880 x2
O  0.0180  0.9018  0.4197 x2
O  0.0864  0.9089  0.8142 x2
O  0.0981  0.3442  0.0978 x2
O  0.2030  0.6657  0.5888 x2
O  0.2313  0.2886  0.3464 x2
O  0.3176  0.0391  0.1615 x2

Results
D(E_F)	0.00	states/eV/atom
calculated volume	13.8	A^3/atom
ρ	2.450	Mg/m³
final energy	-0.368	Ry/atom
crystal system	triclinic